The following is a GGA-PBE calculation of a geometry-optimized Pr3Er2Zn3 structure, from Alexandria via LeMat-Bulk.

The magnetization is 0.000 μB per atom. Its energy relative to the elements is -0.23 eV per atom.

The space group is Immm (No. 71) and the conventional cell measures 3.677, 5.351 and 21.801 Å, with angles of 90.00, 90.00 and 90.00 degrees. The inequivalent atoms are Pr at (0.000, 0.000, 0.000), Pr at (0.000, 0.500, 0.120), Er at (0.000, 0.000, 0.230), Zn at (0.000, 0.000, 0.500) and Zn at (0.000, 0.500, 0.379).

***

The following is a GGA-PBE calculation of a geometry-optimized Pr2Er3Zn2 structure, from Alexandria via LeMat-Bulk.

For the energy relative to the lowest polymorph listed for this composition, the calculation gives 42 meV/atom. The magnetization is 0.000 μB per atom. Its energy relative to the elements is -0.09 eV per atom.

The space group is C2/m (No. 12) and the conventional cell measures 11.636, 4.746 and 8.112 Å, with angles of 90.00, 117.49 and 90.00 degrees. The inequivalent atoms are Pr at (0.137, 0.000, 0.293), Er at (0.000, 0.500, 0.500), Er at (0.134, 0.500, 0.963) and Zn at (0.141, 0.000, 0.694).

***

The following is a GGA-PBE calculation of a geometry-optimized PrErZn structure, from Alexandria via LeMat-Bulk.

For the energy relative to the lowest polymorph listed for this composition, the calculation gives 0 meV/atom. The magnetization is 0.000 μB per atom. Its energy relative to the elements is -0.20 eV per atom.

The space group is I4mm (No. 107) and the conventional cell measures 3.634, 3.634 and 12.374 Å, with angles of 90.00, 90.00 and 90.00 degrees. The inequivalent atoms are Pr at (0.000, 0.000, 0.000), Er at (0.000, 0.000, 0.288) and Zn at (0.000, 0.000, 0.660).

***

The following is a GGA-PBE calculation of a geometry-optimized PrErZn structure, from Alexandria via LeMat-Bulk.

For the energy relative to the lowest polymorph listed for this composition, the calculation gives 150 meV/atom. The magnetization is 0.000 μB per atom. Its energy relative to the elements is -0.05 eV per atom.

The space group is P3m1 (No. 156) and the conventional cell measures 5.0224, 5.0224 and 3.8257 Å, with angles of 90.00, 90.00 and 120.00 degrees. The inequivalent atoms are Pr at (0.0000, 0.0000, 0.0000), Er at (0.3333, 0.6667, 0.4776) and Zn at (0.6667, 0.3333, 0.5861).

***

The following is a GGA-PBE calculation of a geometry-optimized Pr2ErZn3 structure, from Alexandria via LeMat-Bulk.

The magnetization is 0.000 μB per atom. Its energy relative to the elements is -0.31 eV per atom.

The space group is P-3m1 (No. 164) and the conventional cell measures 5.1608, 5.1608 and 6.3548 Å, with angles of 90.00, 90.00 and 120.00 degrees. The inequivalent atoms are Pr at (0.3333, 0.6667, 0.1781), Er at (0.0000, 0.0000, 0.5000), Zn at (0.0000, 0.0000, 0.0000) and Zn at (0.3333, 0.6667, 0.6644).

***

The following is a GGA-PBE calculation of a geometry-optimized PrEr2Zn6 structure, from Alexandria via LeMat-Bulk.

The magnetization is 0.000 μB per atom. Its energy relative to the elements is -0.36 eV per atom.

The space group is P6/mmm (No. 191) and the conventional cell measures 7.8096, 7.8096 and 3.5146 Å, with angles of 90.00, 90.00 and 120.00 degrees. The inequivalent atoms are Pr at (0.0000, 0.0000, 0.0000), Er at (0.3333, 0.6667, 0.0000) and Zn at (0.0000, 0.3378, 0.5000).

***

The following is a GGA-PBE calculation of a geometry-optimized Pr2ErZn3 structure, from Alexandria via LeMat-Bulk.

The magnetization is 0.000 μB per atom. Its energy relative to the elements is -0.31 eV per atom.

The space group is P4/mmm (No. 123) and the conventional cell measures 3.633, 3.633 and 11.088 Å, with angles of 90.00, 90.00 and 90.00 degrees. The inequivalent atoms are Pr at (0.000, 0.000, 0.173), Er at (0.000, 0.000, 0.500), Zn at (0.500, 0.500, 0.000) and Zn at (0.500, 0.500, 0.352).

***

The following is a GGA-PBE calculation of a geometry-optimized Pr5ErZn4 structure, from Alexandria via LeMat-Bulk.

The magnetization is 0.000 μB per atom. Its energy relative to the elements is -0.23 eV per atom.

The space group is P4/mmm (No. 123) and the conventional cell measures 3.708, 3.708 and 19.835 Å, with angles of 90.00, 90.00 and 90.00 degrees. The inequivalent atoms are Pr at (0.000, 0.000, 0.000), Pr at (0.000, 0.000, 0.187), Pr at (0.000, 0.000, 0.374), Er at (0.500, 0.500, 0.500), Zn at (0.500, 0.500, 0.094) and Zn at (0.500, 0.500, 0.282).

***

| no. | DOS at the Fermi energy (states/eV/atom) | final energy (eV per atom) |
| --- | --- | --- |
| 1 | 1.191 | -3.6390 |
| 2 | 1.297 | -3.7764 |
| 3 | 1.212 | -3.7378 |
| 4 | 1.299 | -3.5878 |
| 5 | 1.023 | -3.2991 |
| 6 | 0.777 | -2.7512 |
| 7 | 1.172 | -3.2982 |
| 8 | 1.158 | -3.5866 |